Record 1
VASP calculation (PBE) on a relaxed structure of TbCdSi2Pt7.

Electronic total energy, eV/cell: -62.79
Symmetry: I-4m2

a = 4.0385 Å, b = 4.0385 Å, c = 15.1418 Å
α = 97.66°, β = 97.66°, γ = 90.00°
Sites, in units of the cell vectors:
1 Tb 0.5000 0.5000 0.0000
2 Pt 0.5735 0.0735 0.1471
3 Pt 0.8082 0.8082 0.6165
4 Pt 0.9265 0.4265 0.8529
5 Pt 0.0740 0.5740 0.1479
6 Pt 0.4260 0.9260 0.8521
7 Pt 0.1918 0.1918 0.3835
8 Pt 0.0000 0.0000 0.0000
9 Si 0.1171 0.1171 0.2341
10 Si 0.8829 0.8829 0.7659
11 Cd 0.2500 0.7500 0.5000

Record 2
VASP calculation (PBE) on a relaxed structure of CuC4.

Electronic total energy, eV/cell: -34.58
ΔE_f, eV/atom: 1.28
Symmetry: P-3m1
E above lowest polymorph, eV per atom: 0.000

a = 2.7046 Å, b = 2.7046 Å, c = 5.8977 Å
α = 90.00°, β = 90.00°, γ = 120.00°
Sites, in units of the cell vectors:
1 C 0.6667 0.3333 0.5477
2 C 0.3333 0.6667 0.2053
3 C 0.6667 0.3333 0.7947
4 C 0.3333 0.6667 0.4523
5 Cu 0.0000 0.0000 0.0000

Record 3
VASP calculation (PBE) on a relaxed structure of LiPPb2.

Electronic total energy, eV/cell: -15.09
ΔE_f, eV/atom: -0.09
Symmetry: Cm

a = 4.9781 Å, b = 4.9781 Å, c = 6.1177 Å
α = 70.12°, β = 70.12°, γ = 46.41°
Sites, in units of the cell vectors:
1 Pb 0.9447 0.9447 0.0291
2 Pb 0.7404 0.7404 0.7149
3 P 0.2622 0.2622 0.3684
4 Li 0.5527 0.5527 0.3876

Record 4
VASP calculation (PBE) on a relaxed structure of LiLa2Sn.

Electronic total energy, eV/cell: -32.77
ΔE_f, eV/atom: -0.15
Symmetry: I-42d

a = 8.7076 Å, b = 8.7076 Å, c = 6.8981 Å
α = 50.86°, β = 50.86°, γ = 90.00°
Sites, in units of the cell vectors:
1 La 0.3750 0.3921 0.7500
2 La 0.8750 0.8579 0.7500
3 La 0.6079 0.1250 0.2500
4 La 0.1421 0.6250 0.2500
5 Li 0.2500 0.7500 0.5000
6 Li 0.5000 0.5000 0.0000
7 Sn 0.0000 0.0000 0.0000
8 Sn 0.7500 0.2500 0.5000

electronic total energy of number 2 (CuC4)?
-34.58 eV/cell

Which value of electronic total energy does entry 1 give?
-62.79 eV/cell

Number 1 is which compound?
TbCdSi2Pt7

The lowest electronic total energy belongs to which entry?
TbCdSi2Pt7